Entry 1:
DFT (PBE) results for a relaxed structure of LiBP.

Cell lengths 3.2213, 3.2213, 12.5633 Å; angles 90.00, 90.00, 120.00 degrees
Last column: nearest neighbours and their distance in Å.
Fractional positions:
Li 0.3333 0.6667 0.9076  4 B 2.48-2.52, 3 P 2.78
Li 0.6667 0.3333 0.5743  4 B 2.48-2.52, 3 P 2.78
Li 0.0000 0.0000 0.2410  4 B 2.48-2.52, 3 P 2.78
P 0.3333 0.6667 0.4104  3 B 1.91
P 0.0000 0.0000 0.7437  3 B 1.91
P 0.6667 0.3333 0.0770  3 B 1.91
B 0.0000 0.0000 0.0434  3 P 1.91
B 0.6667 0.3333 0.3767  3 P 1.91
B 0.3333 0.6667 0.7101  3 P 1.91

The calculation puts the calculated volume at 12.5 Å³/atom. The value obtained for the density of states at the Fermi level is 0.109 states/eV/atom. The energy relative to the lowest polymorph listed for this composition comes out at 0.19 eV per formula unit. As for the uncorrected energy: -4.93 eV per atom. The calculation puts the energy relative to the elements at -0.2608 eV per atom.



Entry 2:
DFT (PBE) results for a relaxed structure of MnCrAg2.

Cell lengths 4.3624, 4.3624, 4.3624 Å; angles 60.00, 60.00, 60.00 degrees
Last column: nearest neighbours and their distance in Å.
Fractional positions:
Mn 0.5000 0.5000 0.5000  8 Ag 2.67
Cr 0.0000 0.0000 0.0000  8 Ag 2.67
Ag 0.7500 0.7500 0.7500  4 Mn 2.67, 4 Cr 2.67
Ag 0.2500 0.2500 0.2500  4 Cr 2.67, 4 Mn 2.67

The calculation puts the calculated volume at 14.7 Å³/atom. The value obtained for the density of states at the Fermi level is 2.044 states/eV/atom. The energy relative to the lowest polymorph listed for this composition comes out at 3.23 eV per formula unit. As for the uncorrected energy: -5.07 eV per atom. The calculation puts the energy relative to the elements at 1.0578 eV per atom.



Question: Which value of energy relative to the lowest polymorph listed for this composition does entry 2 give?
Answer: 3.23 eV per formula unit



Question: Which of these has the lowest energy relative to the elements?
Answer: LiBP



Question: What is the energy relative to the elements in the first record?
Answer: -0.2608 eV per atom



Repeat the first record exactly.
DFT (PBE) results for a relaxed structure of LiBP.

Cell lengths 3.2213, 3.2213, 12.5633 Å; angles 90.00, 90.00, 120.00 degrees
Last column: nearest neighbours and their distance in Å.
Fractional positions:
Li 0.3333 0.6667 0.9076  4 B 2.48-2.52, 3 P 2.78
Li 0.6667 0.3333 0.5743  4 B 2.48-2.52, 3 P 2.78
Li 0.0000 0.0000 0.2410  4 B 2.48-2.52, 3 P 2.78
P 0.3333 0.6667 0.4104  3 B 1.91
P 0.0000 0.0000 0.7437  3 B 1.91
P 0.6667 0.3333 0.0770  3 B 1.91
B 0.0000 0.0000 0.0434  3 P 1.91
B 0.6667 0.3333 0.3767  3 P 1.91
B 0.3333 0.6667 0.7101  3 P 1.91

The calculation puts the calculated volume at 12.5 Å³/atom. The value obtained for the density of states at the Fermi level is 0.109 states/eV/atom. The energy relative to the lowest polymorph listed for this composition comes out at 0.19 eV per formula unit. As for the uncorrected energy: -4.93 eV per atom. The calculation puts the energy relative to the elements at -0.2608 eV per atom.